The following is a DFT calculation (GGA-PBE) of a relaxed SrOsO4F crystal.

Properties
Formation energy from raw total energies (meV per atom): -1852
Spin magnetization (μB/cell): 2.0
Space-group type: C2/m (12)

Lattice parameters (Å, degrees): 6.4432 6.4432 7.4204 102.83 102.83 76.71
Fractional positions:
Sr1 0.1888 0.1888 0.1159
Sr2 0.8112 0.8112 0.8841
Os1 0.3559 0.3559 0.7315
Os2 0.6441 0.6441 0.2685
O1 0.1273 0.4807 0.8385
O2 0.2819 0.2819 0.4876
O3 0.4632 0.4632 0.2162
O4 0.4807 0.1273 0.8385
O5 0.5193 0.8727 0.1615
O6 0.5368 0.5368 0.7838
O7 0.7181 0.7181 0.5124
O8 0.8727 0.5193 0.1615
F1 0.0243 0.0243 0.8227
F2 0.9757 0.9757 0.1773